(1)
LiTl2Hg7 (PBE-GGA, optimized geometry); SG = No. 65; energy relative to the lowest polymorph listed for this composition = 15 meV/atom; DFT total energy = -9.0 eV for the cell shown; formation energy from the elements = -0.03 eV/atom
1.0
13.084 0.089 -4.778
-13.737 2.149 -0.838
0.401 3.013 1.154
Tl Hg Li
2 7 1
Direct
0.703 0.297 0.500
0.297 0.703 0.500
0.812 0.188 0.000
0.664 0.850 0.500
0.500 0.500 0.500
0.336 0.150 0.500
0.150 0.336 0.500
0.188 0.812 0.000
0.850 0.664 0.500
0.000 0.000 0.000

=====

(2)
CeSmSc2Hg4 (PBE-GGA, optimized geometry); SG = No. 166; DFT total energy = -27.5 eV for the cell shown; formation energy from the elements = -0.38 eV/atom
1.0
5.209 0.000 0.000
2.605 4.511 0.000
2.605 1.504 8.525
Sc Hg Ce Sm
2 4 1 1
Direct
0.249 0.249 0.252
0.751 0.751 0.748
0.876 0.876 0.372
0.124 0.124 0.628
0.626 0.626 0.123
0.374 0.374 0.877
0.500 0.500 0.500
0.000 0.000 0.000

=====

(3)
SmHo2Ga (PBE-GGA, optimized geometry); SG = No. 160; energy relative to the lowest polymorph listed for this composition = 92 meV/atom; DFT total energy = -17.7 eV for the cell shown; formation energy from the elements = -0.19 eV/atom
1.0
3.602 0.000 0.000
1.801 3.119 0.000
1.801 1.040 10.233
Ga Ho Sm
1 2 1
Direct
0.666 0.666 0.001
0.263 0.263 0.211
0.070 0.070 0.789
0.500 0.500 0.499

=====

(4)
Y2MgCoH (PBE-GGA, optimized geometry); SG = No. 123; energy relative to the lowest polymorph listed for this composition = 0 meV/atom; DFT total energy = -25.8 eV for the cell shown
1.0
-0.062 4.847 -1.196
-1.932 -1.126 -4.464
-3.364 0.297 1.380
Y Co H Mg
2 1 1 1
Direct
0.500 0.000 0.000
0.000 0.500 0.000
0.000 0.000 0.500
0.000 0.000 0.000
0.500 0.500 0.500

=====

(5)
YSb2Rh4 (PBE-GGA, optimized geometry); SG = No. 62; DFT total energy = -193.0 eV for the cell shown; formation energy from raw total energies = -0.59 eV/atom
1.0
-0.304 3.327 2.807
-7.171 -0.127 -0.626
-0.918 -10.810 12.710
Sb Rh Y
8 16 4
Direct
0.750 0.247 0.970
0.750 0.253 0.470
0.250 0.747 0.530
0.750 0.097 0.205
0.250 0.597 0.295
0.750 0.403 0.705
0.250 0.903 0.795
0.250 0.753 0.030
0.250 0.046 0.939
0.250 0.454 0.439
0.750 0.890 0.463
0.750 0.706 0.790
0.250 0.294 0.210
0.750 0.378 0.320
0.250 0.110 0.537
0.750 0.122 0.820
0.250 0.878 0.180
0.750 0.954 0.061
0.750 0.794 0.290
0.750 0.610 0.963
0.250 0.390 0.037
0.250 0.622 0.680
0.250 0.206 0.710
0.750 0.546 0.561
0.250 0.458 0.855
0.750 0.542 0.145
0.250 0.042 0.355
0.750 0.958 0.645

=====

(6)
DyYSc (PBE-GGA, optimized geometry); SG = No. 187; energy relative to the lowest polymorph listed for this composition = 38 meV/atom; DFT total energy = -17.2 eV for the cell shown; formation energy from the elements = 0.08 eV/atom
1.0
3.418 0.000 0.000
0.000 5.446 0.000
0.000 -2.723 4.717
Y Sc Dy
1 1 1
Direct
0.667 0.667 0.333
0.167 0.333 0.667
0.166 0.000 0.000

=====

(7)
In2SnBr (PBE-GGA, optimized geometry); SG = No. 123; energy relative to the lowest polymorph listed for this composition = 46 meV/atom; DFT total energy = -11.7 eV for the cell shown; formation energy from raw total energies = -0.14 eV/atom
1.0
3.580 0.000 0.000
0.000 3.580 0.000
0.000 0.000 8.903
In Br Sn
2 1 1
Direct
0.000 0.000 0.753
0.000 0.000 0.247
0.500 0.500 0.000
0.500 0.500 0.500

=====

(8)
ZrSc3B (PBE-GGA, optimized geometry); SG = No. 221; energy relative to the lowest polymorph listed for this composition = 1530 meV/atom; DFT total energy = -26.2 eV for the cell shown; formation energy from the elements = 1.61 eV/atom
1.0
-1.061 -4.789 1.233
4.912 -1.167 -0.303
0.571 1.134 4.896
Sc B Zr
3 1 1
Direct
0.000 0.000 0.500
0.500 0.000 0.000
0.000 0.500 0.000
0.500 0.500 0.500
0.000 0.000 0.000

=====

(9)
DyYHo (PBE-GGA, optimized geometry); SG = No. 156; energy relative to the lowest polymorph listed for this composition = 3 meV/atom; DFT total energy = -15.6 eV for the cell shown; formation energy from the elements = 0.03 eV/atom
1.0
-3.032 0.118 -1.841
-0.006 -1.148 3.358
-1.365 8.098 2.766
Ho Y Dy
1 1 1
Direct
0.667 0.333 0.334
0.000 0.000 0.000
0.333 0.667 0.665

=====

(10)
CsTl2F8 (PBE-GGA, optimized geometry); SG = No. 123; DFT total energy = -40.2 eV for the cell shown; formation energy from raw total energies = -1.78 eV/atom
1.0
-1.098 -4.708 2.340
5.061 -0.300 1.772
-1.967 3.548 6.217
F Cs Tl
8 1 2
Direct
0.750 0.250 0.824
0.250 0.250 0.176
0.250 0.250 0.824
0.750 0.750 0.176
0.750 0.750 0.824
0.250 0.750 0.176
0.750 0.250 0.176
0.250 0.750 0.824
0.500 0.500 0.500
0.500 0.000 0.000
0.000 0.500 0.000

=====

(11)
ErZrCoCu (PBE-GGA, optimized geometry); SG = No. 216; DFT total energy = -25.1 eV for the cell shown; formation energy from the elements = -0.19 eV/atom
1.0
4.661 0.000 0.000
2.331 4.037 0.000
2.331 1.346 3.806
Cu Er Co Zr
1 1 1 1
Direct
0.250 0.250 0.250
0.000 0.000 0.000
0.750 0.750 0.750
0.500 0.500 0.500

=====

(12)
Ba3TbTl12 (PBE-GGA, optimized geometry); SG = No. 123; DFT total energy = -42.7 eV for the cell shown; formation energy from the elements = -0.24 eV/atom
1.0
5.061 0.000 0.000
0.000 5.061 0.000
0.000 0.000 20.234
Tl Tb Ba
12 1 3
Direct
0.500 0.500 0.000
0.000 0.500 0.371
0.500 0.000 0.629
0.500 0.000 0.890
0.500 0.500 0.261
0.500 0.500 0.739
0.500 0.500 0.500
0.000 0.500 0.890
0.000 0.500 0.629
0.000 0.500 0.110
0.500 0.000 0.371
0.500 0.000 0.110
0.000 0.000 0.000
0.000 0.000 0.236
0.000 0.000 0.764
0.000 0.000 0.500